Version a
# ScGaCoCu (GGA-PBE, relaxed)
# - crystal system = cubic
# - M_tot (μB/f.u.) = 0.3
data_ScGaCoCu
_chemical_formula_sum 'Sc1 Ga1 Co1 Cu1'
_symmetry_space_group_name_H-M 'P 1'
_symmetry_Int_Tables_number 1
_cell_length_a 4.301
_cell_length_b 4.301
_cell_length_c 4.301
_cell_angle_alpha 60.00
_cell_angle_beta 60.00
_cell_angle_gamma 60.00
loop_
_symmetry_equiv_pos_as_xyz
'x,y,z'
loop_
_atom_site_label
_atom_site_fract_x
_atom_site_fract_y
_atom_site_fract_z
_atom_site_occupancy
Co1 0.750 0.750 0.750 1
Cu1 0.250 0.250 0.250 1
Ga1 0.000 0.000 0.000 1
Sc1 0.500 0.500 0.500 1

Version b
# ScGaCoCu (GGA-PBE, relaxed)
# - crystal system = cubic
# - M_tot (μB/f.u.) = 0.7
data_ScGaCoCu
_chemical_formula_sum 'Sc1 Ga1 Co1 Cu1'
_symmetry_space_group_name_H-M 'P 1'
_symmetry_Int_Tables_number 1
_cell_length_a 4.322
_cell_length_b 4.322
_cell_length_c 4.322
_cell_angle_alpha 60.00
_cell_angle_beta 60.00
_cell_angle_gamma 60.00
loop_
_symmetry_equiv_pos_as_xyz
'x,y,z'
loop_
_atom_site_label
_atom_site_fract_x
_atom_site_fract_y
_atom_site_fract_z
_atom_site_occupancy
Co1 0.000 0.000 0.000 1
Cu1 0.750 0.750 0.750 1
Ga1 0.250 0.250 0.250 1
Sc1 0.500 0.500 0.500 1

Which one sits at the bottom of the stability order? version b does.

Version a
# ZnGaCoCu (GGA-PBE, relaxed)
# - crystal system = cubic
# - M_tot (μB/f.u.) = 0.1
data_ZnGaCoCu
_chemical_formula_sum 'Zn1 Ga1 Co1 Cu1'
_symmetry_space_group_name_H-M 'P 1'
_symmetry_Int_Tables_number 1
_cell_length_a 4.125
_cell_length_b 4.125
_cell_length_c 4.125
_cell_angle_alpha 60.00
_cell_angle_beta 60.00
_cell_angle_gamma 60.00
loop_
_symmetry_equiv_pos_as_xyz
'x,y,z'
loop_
_atom_site_label
_atom_site_fract_x
_atom_site_fract_y
_atom_site_fract_z
_atom_site_occupancy
Co1 0.500 0.500 0.500 1
Cu1 0.000 0.000 0.000 1
Ga1 0.250 0.250 0.250 1
Zn1 0.750 0.750 0.750 1

Version b
# ZnGaCoCu (GGA-PBE, relaxed)
# - crystal system = cubic
# - M_tot (μB/f.u.) = 0.0
data_ZnGaCoCu
_chemical_formula_sum 'Zn1 Ga1 Co1 Cu1'
_symmetry_space_group_name_H-M 'P 1'
_symmetry_Int_Tables_number 1
_cell_length_a 4.135
_cell_length_b 4.135
_cell_length_c 4.135
_cell_angle_alpha 60.00
_cell_angle_beta 60.00
_cell_angle_gamma 60.00
loop_
_symmetry_equiv_pos_as_xyz
'x,y,z'
loop_
_atom_site_label
_atom_site_fract_x
_atom_site_fract_y
_atom_site_fract_z
_atom_site_occupancy
Co1 0.500 0.500 0.500 1
Cu1 0.750 0.750 0.750 1
Ga1 0.250 0.250 0.250 1
Zn1 0.000 0.000 0.000 1

Which one sits at the bottom of the stability order? version b does.

Version a
# HfCoCuGe (GGA-PBE, relaxed)
# - crystal system = cubic
# - M_tot (μB/f.u.) = 0.2
data_HfCoCuGe
_chemical_formula_sum 'Hf1 Co1 Cu1 Ge1'
_symmetry_space_group_name_H-M 'P 1'
_symmetry_Int_Tables_number 1
_cell_length_a 4.338
_cell_length_b 4.338
_cell_length_c 4.338
_cell_angle_alpha 60.00
_cell_angle_beta 60.00
_cell_angle_gamma 60.00
loop_
_symmetry_equiv_pos_as_xyz
'x,y,z'
loop_
_atom_site_label
_atom_site_fract_x
_atom_site_fract_y
_atom_site_fract_z
_atom_site_occupancy
Co1 0.000 0.000 0.000 1
Cu1 0.750 0.750 0.750 1
Ge1 0.250 0.250 0.250 1
Hf1 0.500 0.500 0.500 1

Version b
# HfCoCuGe (GGA-PBE, relaxed)
# - crystal system = cubic
# - M_tot (μB/f.u.) = 0.5
data_HfCoCuGe
_chemical_formula_sum 'Hf1 Co1 Cu1 Ge1'
_symmetry_space_group_name_H-M 'P 1'
_symmetry_Int_Tables_number 1
_cell_length_a 4.350
_cell_length_b 4.350
_cell_length_c 4.350
_cell_angle_alpha 60.00
_cell_angle_beta 60.00
_cell_angle_gamma 60.00
loop_
_symmetry_equiv_pos_as_xyz
'x,y,z'
loop_
_atom_site_label
_atom_site_fract_x
_atom_site_fract_y
_atom_site_fract_z
_atom_site_occupancy
Co1 0.500 0.500 0.500 1
Cu1 0.750 0.750 0.750 1
Ge1 0.000 0.000 0.000 1
Hf1 0.250 0.250 0.250 1

Which one sits at the bottom of the stability order? version b does.

Version a
# CoCuNiGe (GGA-PBE, relaxed)
# - crystal system = cubic
# - M_tot (μB/f.u.) = 0.4
data_CoCuNiGe
_chemical_formula_sum 'Co1 Cu1 Ni1 Ge1'
_symmetry_space_group_name_H-M 'P 1'
_symmetry_Int_Tables_number 1
_cell_length_a 4.032
_cell_length_b 4.032
_cell_length_c 4.032
_cell_angle_alpha 60.00
_cell_angle_beta 60.00
_cell_angle_gamma 60.00
loop_
_symmetry_equiv_pos_as_xyz
'x,y,z'
loop_
_atom_site_label
_atom_site_fract_x
_atom_site_fract_y
_atom_site_fract_z
_atom_site_occupancy
Co1 0.000 0.000 0.000 1
Cu1 0.750 0.750 0.750 1
Ge1 0.250 0.250 0.250 1
Ni1 0.500 0.500 0.500 1

Version b
# CoCuNiGe (GGA-PBE, relaxed)
# - crystal system = cubic
# - M_tot (μB/f.u.) = 0.5
data_CoCuNiGe
_chemical_formula_sum 'Co1 Cu1 Ni1 Ge1'
_symmetry_space_group_name_H-M 'P 1'
_symmetry_Int_Tables_number 1
_cell_length_a 4.047
_cell_length_b 4.047
_cell_length_c 4.047
_cell_angle_alpha 60.00
_cell_angle_beta 60.00
_cell_angle_gamma 60.00
loop_
_symmetry_equiv_pos_as_xyz
'x,y,z'
loop_
_atom_site_label
_atom_site_fract_x
_atom_site_fract_y
_atom_site_fract_z
_atom_site_occupancy
Co1 0.000 0.000 0.000 1
Cu1 0.500 0.500 0.500 1
Ge1 0.250 0.250 0.250 1
Ni1 0.750 0.750 0.750 1

Which one sits at the bottom of the stability order? version b does.